# V2NiO6

A relaxed V2NiO6 crystal (GGA+U, the Alexandria database).

Results
Spin magnetization   5.9 μB per cell
Final energy   -6.914 eV per atom

Cell lengths 4.8655, 7.2588, 8.9489 Å; angles 102.14, 90.15, 94.26 degrees
Space group P-1 (No. 2)
Asymmetric unit:
V1 0.0467 0.2869 0.0329 [2 per cell]
V2 0.0484 0.2859 0.3916 [2 per cell]
V3 0.3835 0.4181 0.7367 [2 per cell]
Ni1 0.4926 0.9872 0.8333 [2 per cell]
Ni2 0.5000 0.0000 0.5000 [1 per cell]
O1 0.1353 0.7885 0.7997 [2 per cell]
O2 0.1572 0.8344 0.5106 [2 per cell]
O3 0.1581 0.8324 0.1068 [2 per cell]
O4 0.2037 0.4729 0.5775 [2 per cell]
O5 0.2038 0.4755 0.9141 [2 per cell]
O6 0.2902 0.4704 0.2456 [2 per cell]
O7 0.3303 0.1501 0.3594 [2 per cell]
O8 0.3312 0.1529 0.0190 [2 per cell]
O9 0.3935 0.1773 0.6986 [2 per cell]